! Nd5CoSi2 (PBE-GGA, optimized geometry); values from VASP
! DOS(E_F)	8.07	states/eV/f.u.
! total magnetic moment	0.0	μB per formula unit
! E_form (uncorrected)	-380	meV per atom
&SYSTEM
  ibrav = 0, nat = 16, ntyp = 3
/
ATOMIC_SPECIES
Nd 144.24 Nd.upf
Co 58.93 Co.upf
Si 28.09 Si.upf
CELL_PARAMETERS angstrom
0.000 5.574 6.763
5.507 0.000 6.763
5.507 5.574 0.000
ATOMIC_POSITIONS crystal
Nd 0.000 0.000 0.500
Nd 0.038 0.676 0.324
Nd 0.195 0.522 0.805
Nd 0.324 0.962 0.038
Nd 0.478 0.805 0.522
Nd 0.500 0.500 0.000
Nd 0.522 0.195 0.478
Nd 0.676 0.038 0.962
Nd 0.805 0.478 0.195
Nd 0.962 0.324 0.676
Co 0.381 0.619 0.381
Co 0.619 0.381 0.619
Si 0.116 0.884 0.884
Si 0.250 0.250 0.250
Si 0.750 0.750 0.750
Si 0.884 0.116 0.116

***

! NaTbAgTe2 (PBE-GGA, optimized geometry); values from VASP
! DOS(E_F)	2.43	states/eV/f.u.
! total magnetic moment	0.0	μB per formula unit
! E_form (uncorrected)	-723	meV per atom
&SYSTEM
  ibrav = 0, nat = 10, ntyp = 4
/
ATOMIC_SPECIES
Na 22.99 Na.upf
Tb 158.93 Tb.upf
Ag 107.87 Ag.upf
Te 127.60 Te.upf
CELL_PARAMETERS angstrom
7.704 0.000 0.000
0.000 4.992 0.000
-1.140 0.000 8.189
ATOMIC_POSITIONS crystal
Na 0.000 0.125 0.250
Na 0.000 0.875 0.750
Tb 0.500 0.497 0.750
Tb 0.500 0.503 0.250
Ag 0.500 0.000 0.000
Ag 0.500 0.000 0.500
Te 0.220 0.351 0.966
Te 0.220 0.649 0.466
Te 0.780 0.351 0.534
Te 0.780 0.649 0.034